<w>
CeMg3Ga3: relaxed, PBE.

Computed properties:
As for the symmetry: Pm-3n (223). For the density of states at the Fermi level, the calculation gives 11.71 states/eV/f.u. Its size of the total moment is 0.212 μB per atom.

POSCAR file:
```
CeMg3Ga3
1.0
7.302 0.000 0.000
0.000 7.302 0.000
0.000 0.000 7.302
Ce Mg Ga
2 6 6
direct
0.000 0.000 0.000
0.500 0.500 0.500
0.000 0.250 0.500
0.000 0.750 0.500
0.250 0.500 0.000
0.500 0.000 0.250
0.500 0.000 0.750
0.750 0.500 0.000
0.000 0.500 0.250
0.000 0.500 0.750
0.250 0.000 0.500
0.500 0.250 0.000
0.500 0.750 0.000
0.750 0.000 0.500
```



<x>
CeMg3Ga3: relaxed, PBE.

Computed properties:
As for the symmetry: P2_1/m (11). For the density of states at the Fermi level, the calculation gives 6.86 states/eV/f.u. Its size of the total moment is 0.108 μB per atom.

POSCAR file:
```
CeMg3Ga3
1.0
7.748 0.000 0.000
0.000 4.600 0.000
-3.395 0.000 8.408
Ce Mg Ga
2 6 6
direct
0.115 0.250 0.307
0.885 0.750 0.693
0.238 0.250 0.733
0.305 0.750 0.025
0.489 0.250 0.223
0.511 0.750 0.777
0.695 0.250 0.975
0.762 0.750 0.267
0.072 0.250 0.954
0.157 0.750 0.530
0.437 0.750 0.405
0.563 0.250 0.595
0.843 0.250 0.470
0.928 0.750 0.046
```



<x> is favored, and the nearest alternative lies 541 meV per atom above it.



<w>
CeMg14Ga: relaxed, PBE.

Computed properties:
As for the symmetry: Amm2 (38). For the density of states at the Fermi level, the calculation gives 13.32 states/eV/f.u. Its size of the total moment is 0.060 μB per atom.

POSCAR file:
```
CeMg14Ga
1.0
10.394 0.000 0.000
0.000 3.145 5.699
0.000 -3.145 5.699
Ce Mg Ga
1 14 1
direct
0.000 0.000 0.000
0.000 0.009 0.495
0.000 0.495 0.009
0.228 0.644 0.644
0.253 0.150 0.652
0.253 0.652 0.150
0.258 0.155 0.155
0.500 0.491 0.491
0.500 0.494 0.983
0.500 0.983 0.494
0.500 0.989 0.989
0.742 0.155 0.155
0.747 0.150 0.652
0.747 0.652 0.150
0.772 0.644 0.644
0.000 0.476 0.476
```



<x>
CeMg14Ga: relaxed, PBE.

Computed properties:
As for the symmetry: P-6m2 (187). For the density of states at the Fermi level, the calculation gives 16.94 states/eV/f.u. Its size of the total moment is 0.072 μB per atom.

POSCAR file:
```
CeMg14Ga
1.0
6.506 0.000 0.000
-3.253 5.634 0.000
0.000 0.000 10.214
Ce Mg Ga
1 14 1
direct
0.000 0.000 0.000
0.015 0.508 0.000
0.165 0.330 0.261
0.165 0.330 0.739
0.165 0.835 0.261
0.165 0.835 0.739
0.492 0.508 0.000
0.492 0.985 0.000
0.504 0.008 0.500
0.504 0.496 0.500
0.667 0.333 0.238
0.667 0.333 0.762
0.670 0.835 0.261
0.670 0.835 0.739
0.992 0.496 0.500
0.000 0.000 0.500
```



<w> is favored, and the nearest alternative lies 37 meV per atom above it.



<w>
CeMgGaPd: relaxed, PBE.

Computed properties:
As for the symmetry: F-43m (216). For the density of states at the Fermi level, the calculation gives 5.59 states/eV/f.u. Its size of the total moment is 0.116 μB per atom.

POSCAR file:
```
CeMgGaPd
1.0
0.000 3.453 3.453
3.453 0.000 3.453
3.453 3.453 0.000
Ce Mg Ga Pd
1 1 1 1
direct
0.000 0.000 0.000
0.500 0.500 0.500
0.250 0.250 0.250
0.750 0.750 0.750
```



<x>
CeMgGaPd: relaxed, PBE.

Computed properties:
As for the symmetry: P4/nmm (129). For the density of states at the Fermi level, the calculation gives 6.25 states/eV/f.u. Its size of the total moment is 0.199 μB per atom.

POSCAR file:
```
CeMgGaPd
1.0
4.065 0.000 0.000
0.000 4.065 0.000
0.000 0.000 10.512
Ce Mg Ga Pd
2 2 2 2
direct
0.250 0.250 0.200
0.750 0.750 0.800
0.250 0.750 0.500
0.750 0.250 0.500
0.250 0.250 0.679
0.750 0.750 0.321
0.250 0.250 0.924
0.750 0.750 0.076
```



<w> is favored, and the nearest alternative lies 132 meV per atom above it.



<w>
CeMgGaSn: relaxed, PBE.

Computed properties:
As for the symmetry: Pmmm (47). For the density of states at the Fermi level, the calculation gives 5.74 states/eV/f.u. Its size of the total moment is 0.160 μB per atom.

POSCAR file:
```
CeMgGaSn
1.0
4.378 0.000 0.000
0.000 4.609 0.000
0.000 0.000 4.683
Ce Mg Ga Sn
1 1 1 1
direct
0.000 0.000 0.000
0.000 0.500 0.500
0.500 0.500 0.000
0.500 0.000 0.500
```



<x>
CeMgGaSn: relaxed, PBE.

Computed properties:
As for the symmetry: F-43m (216). For the density of states at the Fermi level, the calculation gives 3.76 states/eV/f.u. Its size of the total moment is 0.110 μB per atom.

POSCAR file:
```
CeMgGaSn
1.0
0.000 3.623 3.623
3.623 0.000 3.623
3.623 3.623 0.000
Ce Mg Ga Sn
1 1 1 1
direct
0.000 0.000 0.000
0.500 0.500 0.500
0.250 0.250 0.250
0.750 0.750 0.750
```



<w> is favored, and the nearest alternative lies 80 meV per atom above it.



<w>
Ce3MnGa: relaxed, PBE.

Computed properties:
As for the symmetry: Pm-3m (221). For the density of states at the Fermi level, the calculation gives 9.48 states/eV/f.u. Its size of the total moment is 0.136 μB per atom.

POSCAR file:
```
Ce3MnGa
1.0
4.992 0.000 0.000
0.000 4.992 0.000
0.000 0.000 4.992
Ce Mn Ga
3 1 1
direct
0.000 0.000 0.500
0.000 0.500 0.000
0.500 0.000 0.000
0.000 0.000 0.000
0.500 0.500 0.500
```



<x>
Ce3MnGa: relaxed, PBE.

Computed properties:
As for the symmetry: P2/c (13). For the density of states at the Fermi level, the calculation gives 9.66 states/eV/f.u. Its size of the total moment is 0.000 μB per atom.

POSCAR file:
```
Ce3MnGa
1.0
6.882 0.000 0.000
0.000 6.233 0.000
-0.446 0.000 10.765
Ce Mn Ga
12 4 4
direct
0.111 0.242 0.411
0.111 0.758 0.911
0.246 0.443 0.166
0.246 0.557 0.666
0.376 0.224 0.929
0.376 0.776 0.429
0.624 0.224 0.571
0.624 0.776 0.071
0.754 0.443 0.334
0.754 0.557 0.834
0.889 0.242 0.089
0.889 0.758 0.589
0.089 0.277 0.852
0.089 0.723 0.352
0.911 0.277 0.648
0.911 0.723 0.148
0.229 0.051 0.669
0.229 0.949 0.169
0.771 0.051 0.831
0.771 0.949 0.331
```



<w> is favored, and the nearest alternative lies 6 meV per atom above it.



<w>
Ce2GaMo: relaxed, PBE.

Computed properties:
As for the symmetry: R-3m (166). For the density of states at the Fermi level, the calculation gives 5.85 states/eV/f.u. Its size of the total moment is 0.000 μB per atom.

POSCAR file:
```
Ce2GaMo
1.0
1.505 0.869 10.767
-1.505 0.869 10.767
0.000 -1.738 10.767
Ce Ga Mo
2 1 1
direct
0.084 0.084 0.084
0.916 0.916 0.916
0.500 0.500 0.500
0.000 0.000 0.000
```



<x>
Ce2GaMo: relaxed, PBE.

Computed properties:
As for the symmetry: P4/mmm (123). For the density of states at the Fermi level, the calculation gives 8.31 states/eV/f.u. Its size of the total moment is 0.000 μB per atom.

POSCAR file:
```
Ce2GaMo
1.0
4.451 0.000 0.000
0.000 4.451 0.000
0.000 0.000 4.299
Ce Ga Mo
2 1 1
direct
0.000 0.500 0.000
0.500 0.000 0.000
0.000 0.000 0.500
0.500 0.500 0.500
```



<x> is favored, and the nearest alternative lies 316 meV per atom above it.



<w>
CeNbGa4: relaxed, PBE.

Computed properties:
As for the symmetry: F-43m (216). For the density of states at the Fermi level, the calculation gives 7.57 states/eV/f.u. Its size of the total moment is 0.146 μB per atom.

POSCAR file:
```
CeNbGa4
1.0
0.000 3.802 3.802
3.802 0.000 3.802
3.802 3.802 0.000
Ce Nb Ga
1 1 4
direct
0.000 0.000 0.000
0.750 0.750 0.750
0.376 0.376 0.376
0.376 0.376 0.873
0.376 0.873 0.376
0.873 0.376 0.376
```



<x>
CeNbGa4: relaxed, PBE.

Computed properties:
As for the symmetry: Cmcm (63). For the density of states at the Fermi level, the calculation gives 5.12 states/eV/f.u. Its size of the total moment is 0.000 μB per atom.

POSCAR file:
```
CeNbGa4
1.0
2.092 -8.760 0.000
2.092 8.760 0.000
0.000 0.000 6.317
Ce Nb Ga
2 2 8
direct
0.099 0.901 0.750
0.901 0.099 0.250
0.231 0.769 0.250
0.769 0.231 0.750
0.074 0.926 0.250
0.339 0.661 0.544
0.339 0.661 0.956
0.500 0.500 0.000
0.500 0.500 0.500
0.661 0.339 0.044
0.661 0.339 0.456
0.926 0.074 0.750
```



<x> is favored, and the nearest alternative lies 132 meV per atom above it.



<w>
CeNbGa: relaxed, PBE.

Computed properties:
As for the symmetry: Pmma (51). For the density of states at the Fermi level, the calculation gives 4.81 states/eV/f.u. Its size of the total moment is 0.095 μB per atom.

POSCAR file:
```
CeNbGa
1.0
5.479 0.000 0.000
0.000 3.001 0.000
0.000 0.000 7.603
Ce Nb Ga
2 2 2
direct
0.250 0.000 0.138
0.750 0.000 0.862
0.000 0.000 0.500
0.500 0.000 0.500
0.250 0.500 0.766
0.750 0.500 0.234
```



<x>
CeNbGa: relaxed, PBE.

Computed properties:
As for the symmetry: I4mm (107). For the density of states at the Fermi level, the calculation gives 2.21 states/eV/f.u. Its size of the total moment is 0.000 μB per atom.

POSCAR file:
```
CeNbGa
1.0
-1.868 1.868 4.638
1.868 -1.868 4.638
1.868 1.868 -4.638
Ce Nb Ga
1 1 1
direct
0.000 0.000 0.000
0.269 0.269 0.000
0.678 0.678 0.000
```



<y>
CeNbGa: relaxed, PBE.

Computed properties:
As for the symmetry: P-6m2 (187). For the density of states at the Fermi level, the calculation gives 5.78 states/eV/f.u. Its size of the total moment is 0.214 μB per atom.

POSCAR file:
```
CeNbGa
1.0
4.602 0.000 0.000
-2.301 3.986 0.000
0.000 0.000 3.663
Ce Nb Ga
1 1 1
direct
0.000 0.000 0.000
0.667 0.333 0.500
0.333 0.667 0.500
```



<w> is favored, and the nearest alternative lies 38 meV per atom above it.